Entry 1:
Here is a relaxed structure of Pr2Sm2Os from the Alexandria database. Energies are from PBE.

Results
The energy relative to the elements comes out at -0.0232 eV/atom. Its spin magnetization is 0.000 μB/atom. The calculation puts the density of states at the Fermi level at 5.2 states/eV/f.u.

Geometry as CIF:
```
data_Pr2Sm2Os
_symmetry_space_group_name_H-M 'C 1 2/m 1'
_symmetry_Int_Tables_number 12
_symmetry_space_group_name_Hall '-C 2y'
_cell_length_a 7.5796
_cell_length_b 12.2658
_cell_length_c 7.5727
_cell_angle_alpha 90.00
_cell_angle_beta 115.49
_cell_angle_gamma 90.00
loop_
_atom_site_label
_atom_site_type_symbol
_atom_site_fract_x
_atom_site_fract_y
_atom_site_fract_z
Pr1 Pr 0.2247 0.0000 0.4012
Pr2 Pr 0.2412 0.5000 0.0928
Sm1 Sm 0.0574 0.2752 0.7558
Os1 Os 0.0000 0.1291 0.0000
```



Entry 2:
Here is a relaxed structure of NdEr3Ru from the Alexandria database. Energies are from PBE.

Results
The energy relative to the elements comes out at -0.1095 eV/atom. Its spin magnetization is 0.002 μB/atom. The calculation puts the density of states at the Fermi level at 8.1 states/eV/f.u.

Geometry as CIF:
```
data_NdEr3Ru
_symmetry_space_group_name_H-M 'P m -3 m'
_symmetry_Int_Tables_number 221
_symmetry_space_group_name_Hall '-P 4 2 3'
_cell_length_a 5.3670
_cell_length_b 5.3670
_cell_length_c 5.3670
_cell_angle_alpha 90.00
_cell_angle_beta 90.00
_cell_angle_gamma 90.00
loop_
_atom_site_label
_atom_site_type_symbol
_atom_site_fract_x
_atom_site_fract_y
_atom_site_fract_z
Nd1 Nd 0.0000 0.0000 0.0000
Er1 Er 0.0000 0.5000 0.5000
Ru1 Ru 0.5000 0.5000 0.5000
```



Entry 3:
Here is a relaxed structure of Ho2Al3V from the Alexandria database. Energies are from PBE.

Results
The energy relative to the elements comes out at -0.3713 eV/atom. Its spin magnetization is 0.227 μB/atom. The calculation puts the density of states at the Fermi level at 3.6 states/eV/f.u.

Geometry as CIF:
```
data_Ho2Al3V
_symmetry_space_group_name_H-M 'R -3 m'
_symmetry_Int_Tables_number 166
_symmetry_space_group_name_Hall '-R 3 2"'
_cell_length_a 5.5810
_cell_length_b 5.5810
_cell_length_c 13.3045
_cell_angle_alpha 90.00
_cell_angle_beta 90.00
_cell_angle_gamma 120.00
loop_
_atom_site_label
_atom_site_type_symbol
_atom_site_fract_x
_atom_site_fract_y
_atom_site_fract_z
Ho1 Ho 0.0000 0.0000 0.1275
Al1 Al 0.0000 0.5000 0.0000
V1 V 0.0000 0.0000 0.5000
```



Entry 4:
Here is a relaxed structure of CaHo3Cu4 from the Alexandria database. Energies are from PBE.

Results
The energy relative to the elements comes out at -0.2112 eV/atom. Its spin magnetization is 0.000 μB/atom. The calculation puts the density of states at the Fermi level at 4.6 states/eV/f.u.

Geometry as CIF:
```
data_CaHo3Cu4
_symmetry_space_group_name_H-M 'P 4/m m m'
_symmetry_Int_Tables_number 123
_symmetry_space_group_name_Hall '-P 4 2'
_cell_length_a 4.9104
_cell_length_b 4.9104
_cell_length_c 6.9267
_cell_angle_alpha 90.00
_cell_angle_beta 90.00
_cell_angle_gamma 90.00
loop_
_atom_site_label
_atom_site_type_symbol
_atom_site_fract_x
_atom_site_fract_y
_atom_site_fract_z
Ca1 Ca 0.0000 0.0000 0.0000
Ho1 Ho 0.0000 0.0000 0.5000
Ho2 Ho 0.5000 0.5000 0.0000
Ho3 Ho 0.5000 0.5000 0.5000
Cu1 Cu 0.0000 0.5000 0.2630
```



Entry 5:
Here is a relaxed structure of ZnHg8 from the Alexandria database. Energies are from PBE.

Results
The energy relative to the elements comes out at 0.0686 eV/atom. Its spin magnetization is 0.000 μB/atom. The calculation puts the density of states at the Fermi level at 2.7 states/eV/f.u.

Geometry as CIF:
```
data_ZnHg8
_symmetry_space_group_name_H-M 'I 4/m m m'
_symmetry_Int_Tables_number 139
_symmetry_space_group_name_Hall '-I 4 2'
_cell_length_a 10.5473
_cell_length_b 10.5473
_cell_length_c 4.3057
_cell_angle_alpha 90.00
_cell_angle_beta 90.00
_cell_angle_gamma 90.00
loop_
_atom_site_label
_atom_site_type_symbol
_atom_site_fract_x
_atom_site_fract_y
_atom_site_fract_z
Zn1 Zn 0.0000 0.0000 0.0000
Hg1 Hg 0.0000 0.3310 0.0000
Hg2 Hg 0.1588 0.1588 0.5000
```



Entry 6:
Here is a relaxed structure of TcB2O6 from the Alexandria database. Energies are from PBE.

Results
Its spin magnetization is 0.111 μB/atom. The uncorrected formation energy comes out at -1.797 eV per atom.

Geometry as CIF:
```
data_TcB2O6
_symmetry_space_group_name_H-M 'C 1 2/c 1'
_symmetry_Int_Tables_number 15
_symmetry_space_group_name_Hall '-C 2yc'
_cell_length_a 11.8483
_cell_length_b 10.7642
_cell_length_c 4.5076
_cell_angle_alpha 90.00
_cell_angle_beta 109.42
_cell_angle_gamma 90.00
loop_
_atom_site_label
_atom_site_type_symbol
_atom_site_fract_x
_atom_site_fract_y
_atom_site_fract_z
Tc1 Tc 0.0000 0.2256 0.2500
B1 B 0.1537 0.4487 0.2604
O1 O 0.0893 0.1435 0.5641
O2 O 0.0921 0.3443 0.1139
O3 O 0.1820 0.4615 0.5823
```



Entry 7:
Here is a relaxed structure of LaHoAl2Zn2 from the Alexandria database. Energies are from PBE.

Results
The energy relative to the elements comes out at -0.4502 eV/atom. Its spin magnetization is 0.000 μB/atom. The calculation puts the density of states at the Fermi level at 3.7 states/eV/f.u.

Geometry as CIF:
```
data_LaHoAl2Zn2
_symmetry_space_group_name_H-M 'P -3 m 1'
_symmetry_Int_Tables_number 164
_symmetry_space_group_name_Hall '-P 3 2"'
_cell_length_a 4.5258
_cell_length_b 4.5258
_cell_length_c 7.5383
_cell_angle_alpha 90.00
_cell_angle_beta 90.00
_cell_angle_gamma 120.00
loop_
_atom_site_label
_atom_site_type_symbol
_atom_site_fract_x
_atom_site_fract_y
_atom_site_fract_z
La1 La 0.0000 0.0000 0.0000
Ho1 Ho 0.0000 0.0000 0.5000
Al1 Al 0.3333 0.6667 0.7216
Zn1 Zn 0.3333 0.6667 0.2892
```



Entry 8:
Here is a relaxed structure of Cr2GeBW from the Alexandria database. Energies are from PBE.

Results
The energy relative to the elements comes out at 2.3552 eV/atom. Its spin magnetization is 0.011 μB/atom. The calculation puts the density of states at the Fermi level at 7.8 states/eV/f.u.

Geometry as CIF:
```
data_Cr2GeBW
_symmetry_space_group_name_H-M 'P 4/m m m'
_symmetry_Int_Tables_number 123
_symmetry_space_group_name_Hall '-P 4 2'
_cell_length_a 4.5465
_cell_length_b 4.5465
_cell_length_c 4.8200
_cell_angle_alpha 90.00
_cell_angle_beta 90.00
_cell_angle_gamma 90.00
loop_
_atom_site_label
_atom_site_type_symbol
_atom_site_fract_x
_atom_site_fract_y
_atom_site_fract_z
Cr1 Cr 0.0000 0.5000 0.0000
Ge1 Ge 0.0000 0.0000 0.5000
B1 B 0.5000 0.5000 0.5000
W1 W 0.0000 0.0000 0.0000
```



Entry 9:
Here is a relaxed structure of Th2PaRu from the Alexandria database. Energies are from PBE.

Results
The energy relative to the elements comes out at -0.1173 eV/atom. Its spin magnetization is 0.000 μB/atom. The calculation puts the density of states at the Fermi level at 4.2 states/eV/f.u.

Geometry as CIF:
```
data_Th2PaRu
_symmetry_space_group_name_H-M 'P 4/m m m'
_symmetry_Int_Tables_number 123
_symmetry_space_group_name_Hall '-P 4 2'
_cell_length_a 3.5825
_cell_length_b 3.5825
_cell_length_c 7.8599
_cell_angle_alpha 90.00
_cell_angle_beta 90.00
_cell_angle_gamma 90.00
loop_
_atom_site_label
_atom_site_type_symbol
_atom_site_fract_x
_atom_site_fract_y
_atom_site_fract_z
Th1 Th 0.0000 0.0000 0.2195
Pa1 Pa 0.5000 0.5000 0.5000
Ru1 Ru 0.5000 0.5000 0.0000
```



Entry 10:
Here is a relaxed structure of Nd2PuAl4Pt3 from the Alexandria database. Energies are from PBE.

Results
The energy relative to the elements comes out at -0.8065 eV/atom. Its spin magnetization is 0.611 μB/atom. The calculation puts the density of states at the Fermi level at 13.4 states/eV/f.u.

Geometry as CIF:
```
data_Nd2PuAl4Pt3
_symmetry_space_group_name_H-M 'P -4 m 2'
_symmetry_Int_Tables_number 115
_symmetry_space_group_name_Hall 'P -4 -2'
_cell_length_a 4.3045
_cell_length_b 4.3045
_cell_length_c 11.3613
_cell_angle_alpha 90.00
_cell_angle_beta 90.00
_cell_angle_gamma 90.00
loop_
_atom_site_label
_atom_site_type_symbol
_atom_site_fract_x
_atom_site_fract_y
_atom_site_fract_z
Nd1 Nd 0.0000 0.5000 0.2310
Pu1 Pu 0.0000 0.0000 0.5000
Al1 Al 0.0000 0.0000 0.0000
Al2 Al 0.0000 0.5000 0.6698
Al3 Al 0.5000 0.5000 0.0000
Pt1 Pt 0.0000 0.5000 0.8820
Pt2 Pt 0.5000 0.5000 0.5000
```



Entry 11:
Here is a relaxed structure of SiOsW2 from the Alexandria database. Energies are from PBE.

Results
Its spin magnetization is 0.000 μB/atom. The calculation puts the density of states at the Fermi level at 2.4 states/eV/f.u. The uncorrected formation energy comes out at -0.007 eV per atom.

Geometry as CIF:
```
data_SiOsW2
_symmetry_space_group_name_H-M 'P m m m'
_symmetry_Int_Tables_number 47
_symmetry_space_group_name_Hall '-P 2 2'
_cell_length_a 2.8000
_cell_length_b 4.0717
_cell_length_c 5.1964
_cell_angle_alpha 90.00
_cell_angle_beta 90.00
_cell_angle_gamma 90.00
loop_
_atom_site_label
_atom_site_type_symbol
_atom_site_fract_x
_atom_site_fract_y
_atom_site_fract_z
Si1 Si 0.0000 0.0000 0.0000
Os1 Os 0.0000 0.0000 0.5000
W1 W 0.5000 0.5000 0.2459
```



Entry 12:
Here is a relaxed structure of LaInPt from the Alexandria database. Energies are from PBE.

Results
The energy relative to the elements comes out at -0.9641 eV/atom. Its spin magnetization is 0.000 μB/atom. The calculation puts the density of states at the Fermi level at 1.9 states/eV/f.u.

Geometry as CIF:
```
data_LaInPt
_symmetry_space_group_name_H-M 'P m m a'
_symmetry_Int_Tables_number 51
_symmetry_space_group_name_Hall '-P 2a 2a'
_cell_length_a 13.7874
_cell_length_b 4.0780
_cell_length_c 7.8648
_cell_angle_alpha 90.00
_cell_angle_beta 90.00
_cell_angle_gamma 90.00
loop_
_atom_site_label
_atom_site_type_symbol
_atom_site_fract_x
_atom_site_fract_y
_atom_site_fract_z
La1 La 0.0450 0.0000 0.2320
La2 La 0.2500 0.0000 0.8548
In1 In 0.1214 0.5000 0.5685
In2 In 0.2500 0.5000 0.2030
Pt1 Pt 0.0992 0.5000 0.9382
Pt2 Pt 0.2500 0.0000 0.4500
```



| no. | raw total energy (eV per atom) |
| --- | --- |
| 1 | -6.069 |
| 2 | -5.656 |
| 3 | -5.288 |
| 4 | -4.226 |
| 5 | -0.341 |
| 6 | -7.738 |
| 7 | -3.707 |
| 8 | -6.344 |
| 9 | -8.520 |
| 10 | -6.503 |
| 11 | -10.646 |
| 12 | -5.533 |